MnPb | GGA-PBE | optimized geometry

a = 11.4832 Å, b = 3.2359 Å, c = 4.9461 Å
α = 90.00°, β = 108.51°, γ = 90.00°
Space group C2/m (No. 12)
Symmetry-distinct sites (fractional):
Mn  0.1502  0.0000  0.3542 (multiplicity 4)
Pb  0.1097  0.5000  0.8215 (multiplicity 4)

## Properties
The energy of formation from the pure elements comes out at 0.91 eV per formula unit. The density of states at the Fermi level is 1.56 states/eV/f.u. Its total magnetization is 1.878 μB per atom.

=====

NiHg2Mo | GGA-PBE | optimized geometry

a = 2.8059 Å, b = 4.9180 Å, c = 10.3444 Å
α = 90.00°, β = 90.00°, γ = 90.00°
Space group Imm2 (No. 44)
Symmetry-distinct sites (fractional):
Ni  0.0000  0.0000  0.0000 (multiplicity 2)
Hg  0.0000  0.0000  0.5325 (multiplicity 2)
Hg  0.0000  0.5000  0.7444 (multiplicity 2)
Mo  0.0000  0.5000  0.3002 (multiplicity 2)

## Properties
The energy of formation from the pure elements comes out at 2.05 eV per formula unit. The density of states at the Fermi level is 4.12 states/eV/f.u. For the relative energy among the computed polymorphs, the calculation gives 22.4 kJ/mol of atoms. Its total magnetization is 0.000 μB per atom.

=====

Question: Among the records above, which one has the lowest energy of formation from the pure elements?
Answer: MnPb

=====

Question: Among the records above, which one has the highest total magnetization?
Answer: MnPb